An optimized crystal structure of CeMg2Au. Source: the Alexandria database, functional GGA-PBE.

abc: 3.205 3.205 8.647
angles: 90.00 90.00 90.00
Positions (direct):
Ce (0.000, 0.000, 0.000)
Mg (0.500, 0.500, 0.303)
Mg (0.500, 0.500, 0.697)
Au (0.000, 0.000, 0.500)

Results
final energy = -13.578 eV/f.u.
energy relative to the elements = -0.2943 eV/atom
density = 7.21 g cm⁻³
symmetry = P4/mmm

---

An optimized crystal structure of Sm2ThOsC4. Source: the Alexandria database, functional GGA-PBE.

abc: 6.357 6.357 12.477
angles: 90.00 90.00 147.50
Positions (direct):
Sm (0.131, 0.869, 0.540)
Sm (0.131, 0.869, 0.960)
Sm (0.869, 0.131, 0.040)
Sm (0.869, 0.131, 0.460)
Th (0.412, 0.588, 0.750)
Th (0.588, 0.412, 0.250)
Os (0.329, 0.671, 0.250)
Os (0.671, 0.329, 0.750)
C (0.082, 0.918, 0.750)
C (0.230, 0.770, 0.135)
C (0.230, 0.770, 0.365)
C (0.500, 0.500, 0.000)
C (0.500, 0.500, 0.500)
C (0.770, 0.230, 0.635)
C (0.770, 0.230, 0.865)
C (0.918, 0.082, 0.250)

Results
final energy = -64.715 eV/f.u.
energy relative to the elements = 0.0336 eV/atom
density = 9.45 g cm⁻³
symmetry = Cmcm

---

An optimized crystal structure of SrBe3Se. Source: the Alexandria database, functional GGA-PBE.

abc: 4.637 4.637 4.637
angles: 90.00 90.00 90.00
Positions (direct):
Sr (0.000, 0.000, 0.000)
Be (0.000, 0.500, 0.500)
Be (0.500, 0.000, 0.500)
Be (0.500, 0.500, 0.000)
Se (0.500, 0.500, 0.500)

Results
final energy = -12.526 eV/f.u.
energy relative to the lowest polymorph listed for this composition = 0.00 eV/f.u.
density = 3.22 g cm⁻³
symmetry = Pm-3m
energy relative to the elements, uncorrected = 0.764 eV/atom

---

An optimized crystal structure of LaTb2Pm2. Source: the Alexandria database, functional GGA-PBE.

abc: 6.508 6.508 6.508
angles: 124.53 124.53 82.32
Positions (direct):
La (0.000, 0.000, 0.000)
Tb (0.351, 0.351, 0.000)
Tb (0.649, 0.649, 0.000)
Pm (0.250, 0.750, 0.500)
Pm (0.750, 0.250, 0.500)

Results
final energy = -21.372 eV/f.u.
energy relative to the elements = 0.4634 eV/atom
energy relative to the lowest polymorph listed for this composition = 1.70 eV/f.u.
density = 6.90 g cm⁻³
symmetry = I4/mmm